1.
{"formula": "La9CeNd2", "functional": "GGA-PBE", "state": "relaxed", "crystal_system": "tetragonal", "e_tot_ev_per_atom": -4.963, "lattice": [[5.2188, 0.0000, 0.0000], [0.0000, 5.2188, 0.0000], [0.0000, 0.0000, 15.6655]], "species": ["La", "La", "La", "La", "La", "La", "La", "La", "La", "Ce", "Nd", "Nd"], "fractional_positions": [[0.0000, 0.0000, 0.0000], [0.0000, 0.0000, 0.3324], [0.0000, 0.0000, 0.6676], [0.0000, 0.5000, 0.1608], [0.0000, 0.5000, 0.5000], [0.0000, 0.5000, 0.8392], [0.5000, 0.0000, 0.1608], [0.5000, 0.0000, 0.5000], [0.5000, 0.0000, 0.8392], [0.5000, 0.5000, 0.0000], [0.5000, 0.5000, 0.3325], [0.5000, 0.5000, 0.6675]]}

2.
{"formula": "La4CeNd10", "functional": "GGA-PBE", "state": "relaxed", "crystal_system": "tetragonal", "e_tot_ev_per_atom": -4.674, "lattice": [[-5.8056, 5.8056, 4.0392], [5.8056, -5.8056, 4.0392], [5.8056, 5.8056, -4.0392]], "species": ["La", "La", "La", "La", "Ce", "Nd", "Nd", "Nd", "Nd", "Nd", "Nd", "Nd", "Nd", "Nd", "Nd"], "fractional_positions": [[0.2256, 0.2256, 0.4511], [0.2256, 0.7744, 0.0000], [0.7744, 0.2256, 0.0000], [0.7744, 0.7744, 0.5489], [0.0000, 0.0000, 0.0000], [0.0820, 0.2902, 0.7919], [0.2500, 0.7500, 0.5000], [0.2902, 0.0820, 0.7919], [0.2902, 0.4983, 0.2081], [0.4983, 0.2902, 0.2081], [0.5017, 0.7098, 0.7919], [0.7098, 0.5017, 0.7919], [0.7098, 0.9180, 0.2081], [0.7500, 0.2500, 0.5000], [0.9180, 0.7098, 0.2081]]}

3.
{"formula": "La5CeNd", "functional": "GGA-PBE", "state": "relaxed", "crystal_system": "monoclinic", "e_tot_ev_per_atom": -4.875, "lattice": [[3.1720, -8.7619, 0.0000], [3.1720, 8.7619, 0.0000], [-1.9165, 0.0000, 8.9559]], "species": ["La", "La", "La", "La", "La", "La", "La", "La", "La", "La", "Ce", "Ce", "Nd", "Nd"], "fractional_positions": [[0.0200, 0.3848, 0.6575], [0.1490, 0.8510, 0.7500], [0.2668, 0.5554, 0.0472], [0.3848, 0.0200, 0.1575], [0.4446, 0.7332, 0.4528], [0.5554, 0.2668, 0.5472], [0.6152, 0.9800, 0.8425], [0.7332, 0.4446, 0.9528], [0.8510, 0.1490, 0.2500], [0.9800, 0.6152, 0.3425], [0.4949, 0.5051, 0.2500], [0.5051, 0.4949, 0.7500], [0.0000, 0.0000, 0.0000], [0.0000, 0.0000, 0.5000]]}

4.
{"formula": "La2Ce3NdP6", "functional": "GGA-PBE", "state": "relaxed", "crystal_system": "monoclinic", "e_tot_ev_per_atom": -6.938, "lattice": [[3.6029, -6.2411, 0.0000], [3.6029, 6.2411, 0.0000], [-2.4028, 0.0000, 6.8043]], "species": ["La", "La", "Ce", "Ce", "Ce", "Nd", "P", "P", "P", "P", "P", "P"], "fractional_positions": [[0.1665, 0.8335, 0.0000], [0.8335, 0.1665, 0.0000], [0.0000, 0.0000, 0.5000], [0.3330, 0.6670, 0.5000], [0.6670, 0.3330, 0.5000], [0.5000, 0.5000, 0.0000], [0.0823, 0.4130, 0.7389], [0.2566, 0.2566, 0.2616], [0.4130, 0.0823, 0.7389], [0.5870, 0.9177, 0.2611], [0.7434, 0.7434, 0.7384], [0.9177, 0.5870, 0.2611]]}

5.
{"formula": "La2CeNd3P6", "functional": "GGA-PBE", "state": "relaxed", "crystal_system": "monoclinic", "e_tot_ev_per_atom": -6.762, "lattice": [[3.6292, -6.2839, 0.0000], [3.6292, 6.2839, 0.0000], [-2.4194, 0.0000, 6.8379]], "species": ["La", "La", "Ce", "Nd", "Nd", "Nd", "P", "P", "P", "P", "P", "P"], "fractional_positions": [[0.1663, 0.8337, 0.0000], [0.8337, 0.1663, 0.0000], [0.5000, 0.5000, 0.0000], [0.0000, 0.0000, 0.5000], [0.3323, 0.6677, 0.5000], [0.6677, 0.3323, 0.5000], [0.0916, 0.4168, 0.7502], [0.2583, 0.2583, 0.2494], [0.4168, 0.0916, 0.7502], [0.5832, 0.9084, 0.2498], [0.7417, 0.7417, 0.7506], [0.9084, 0.5832, 0.2498]]}

6.
{"formula": "La2CeNdP4", "functional": "GGA-PBE", "state": "relaxed", "crystal_system": "monoclinic", "e_tot_ev_per_atom": -6.823, "lattice": [[7.2672, 0.0000, 0.0000], [0.0000, 4.1986, 0.0000], [-2.4178, 0.0000, 6.8696]], "species": ["La", "La", "Ce", "Nd", "P", "P", "P", "P"], "fractional_positions": [[0.0000, 0.0000, 0.0000], [0.5000, 0.5000, 0.0000], [0.0000, 0.5000, 0.5000], [0.5000, 0.0000, 0.5000], [0.2429, 0.0000, 0.7397], [0.2480, 0.5000, 0.2578], [0.7520, 0.5000, 0.7422], [0.7571, 0.0000, 0.2603]]}

7.
{"formula": "LaCe2Nd3P6", "functional": "GGA-PBE", "state": "relaxed", "crystal_system": "monoclinic", "e_tot_ev_per_atom": -6.833, "lattice": [[3.6014, -6.2369, 0.0000], [3.6014, 6.2369, 0.0000], [-2.4023, 0.0000, 6.7844]], "species": ["La", "Ce", "Ce", "Nd", "Nd", "Nd", "P", "P", "P", "P", "P", "P"], "fractional_positions": [[0.0000, 0.0000, 0.0000], [0.3330, 0.6670, 0.0000], [0.6670, 0.3330, 0.0000], [0.1654, 0.8346, 0.5000], [0.5000, 0.5000, 0.5000], [0.8346, 0.1654, 0.5000], [0.0820, 0.4231, 0.2457], [0.2592, 0.2592, 0.7544], [0.4231, 0.0820, 0.2457], [0.5769, 0.9180, 0.7543], [0.7408, 0.7408, 0.2456], [0.9180, 0.5769, 0.7543]]}

8.
{"formula": "La3CeNd2P6", "functional": "GGA-PBE", "state": "relaxed", "crystal_system": "monoclinic", "e_tot_ev_per_atom": -6.782, "lattice": [[3.6405, -6.3037, 0.0000], [3.6405, 6.3037, 0.0000], [-2.4263, 0.0000, 6.8785]], "species": ["La", "La", "La", "Ce", "Nd", "Nd", "P", "P", "P", "P", "P", "P"], "fractional_positions": [[0.0000, 0.0000, 0.0000], [0.3324, 0.6676, 0.0000], [0.6676, 0.3324, 0.0000], [0.5000, 0.5000, 0.5000], [0.1663, 0.8337, 0.5000], [0.8337, 0.1663, 0.5000], [0.0920, 0.4194, 0.2578], [0.2537, 0.2537, 0.7422], [0.4194, 0.0920, 0.2578], [0.5806, 0.9080, 0.7422], [0.7463, 0.7463, 0.2578], [0.9080, 0.5806, 0.7422]]}

| no. | total moment (μB per atom) |
| --- | --- |
| 1 | 0.085 |
| 2 | 0.000 |
| 3 | 0.127 |
| 4 | 0.129 |
| 5 | 0.034 |
| 6 | 0.062 |
| 7 | 0.076 |
| 8 | 0.033 |